(1)
First-principles (PBE-GGA) data for a geometry-optimized CdGaFeRe2 structure, as listed in Alexandria.

abc: 4.603 4.603 4.383
angles: 90.00 90.00 90.00
Atoms (fractional coordinates):
Cd  0.000  0.000  0.000
Ga  0.500  0.500  0.500
Fe  0.500  0.500  0.000
Re  0.000  0.500  0.500
Re  0.500  0.000  0.500

Properties
* DFT formation energy: 1.579 eV/atom
* spin magnetization: 2.76 μB per cell
* symmetry: P4/mmm (123)
* VASP energy: -5.88 eV per atom



(2)
First-principles (PBE-GGA) data for a geometry-optimized Cd2GaFeSe structure, as listed in Alexandria.

abc: 5.167 5.167 5.135
angles: 90.00 90.00 90.00
Atoms (fractional coordinates):
Cd  0.000  0.500  0.000
Cd  0.500  0.000  0.000
Ga  0.000  0.000  0.500
Fe  0.500  0.500  0.500
Se  0.000  0.000  0.000

Properties
* spin magnetization: 3.18 μB per cell
* formation energy (no corrections): 945 meV/atom
* symmetry: P4/mmm (123)
* VASP energy: -2.42 eV per atom



(3)
First-principles (PBE-GGA) data for a geometry-optimized CdGaFeSn2 structure, as listed in Alexandria.

abc: 4.977 4.977 4.692
angles: 90.00 90.00 90.00
Atoms (fractional coordinates):
Cd  0.000  0.000  0.000
Ga  0.500  0.500  0.000
Fe  0.500  0.500  0.500
Sn  0.000  0.500  0.500
Sn  0.500  0.000  0.500

Properties
* DFT formation energy: 0.097 eV/atom
* spin magnetization: 0.94 μB per cell
* symmetry: P4/mmm (123)
* VASP energy: -3.99 eV per atom



(4)
First-principles (PBE-GGA) data for a geometry-optimized YCdGaFe2 structure, as listed in Alexandria.

abc: 4.533 4.533 5.143
angles: 90.00 90.00 90.00
Atoms (fractional coordinates):
Y  0.000  0.000  0.000
Cd  0.500  0.500  0.000
Ga  0.000  0.000  0.500
Fe  0.000  0.500  0.500
Fe  0.500  0.000  0.500

Properties
* DFT formation energy: 0.617 eV/atom
* spin magnetization: 4.76 μB per cell
* symmetry: P4/mmm (123)
* VASP energy: -4.85 eV per atom



(5)
First-principles (PBE-GGA) data for a geometry-optimized ZnCdGaFe2 structure, as listed in Alexandria.

abc: 4.542 4.542 4.875
angles: 90.00 90.00 90.00
Atoms (fractional coordinates):
Zn  0.000  0.000  0.000
Cd  0.500  0.500  0.000
Ga  0.500  0.500  0.500
Fe  0.000  0.500  0.500
Fe  0.500  0.000  0.500

Properties
* DFT formation energy: 0.927 eV/atom
* spin magnetization: 5.31 μB per cell
* symmetry: P4/mmm (123)
* VASP energy: -3.50 eV per atom



(6)
First-principles (PBE-GGA) data for a geometry-optimized ZrCdGaFe2 structure, as listed in Alexandria.

abc: 4.663 4.663 5.247
angles: 90.00 90.00 90.00
Atoms (fractional coordinates):
Zr  0.000  0.000  0.000
Cd  0.500  0.500  0.500
Ga  0.000  0.000  0.500
Fe  0.000  0.500  0.000
Fe  0.500  0.000  0.000

Properties
* DFT formation energy: 1.168 eV/atom
* spin magnetization: 4.02 μB per cell
* symmetry: P4/mmm (123)
* VASP energy: -4.72 eV per atom